No. 1
This record from Alexandria describes crystalline Pm3Er6Th at its relaxed geometry. The functional is PBE-GGA.

Properties
- Formation enthalpy at 0 K: 0.16 eV/atom
- Volume: 647.97 Å³/cell

The structure in POSCAR format:
```
Pm3Er6Th
1.0
4.707 -7.608 0.000
4.707 7.608 0.000
0.000 0.000 9.046
Pm Er Th
6 12 2
Cartesian
4.707 6.887 4.523
3.077 2.229 8.927
3.077 -2.229 4.404
6.338 2.229 8.927
6.338 -2.229 4.404
4.707 -6.887 0.000
1.705 2.274 5.864
2.488 0.946 2.872
4.707 4.351 6.846
2.488 -0.946 7.395
1.705 -2.274 1.341
4.707 0.858 5.675
4.707 -0.858 1.152
7.710 2.274 5.864
6.927 0.946 2.872
4.707 -4.351 2.324
6.927 -0.946 7.395
7.710 -2.274 1.341
4.707 3.435 3.600
4.707 -3.435 8.123
```

No. 2
This record from Alexandria describes crystalline MnBr2Cl at its relaxed geometry. The functional is PBE-GGA.

Properties
- Raw total energy: -4.29 eV/atom
- Volume: 119.82 Å³/cell

The structure in POSCAR format:
```
MnBr2Cl
1.0
4.777 0.000 0.000
0.000 3.653 0.000
-2.363 0.000 6.867
Mn Br Cl
1 2 1
Cartesian
0.000 0.000 0.000
0.000 1.826 1.775
2.414 1.826 5.091
2.389 0.000 0.000
```

No. 3
This record from Alexandria describes crystalline Pa2SiIr at its relaxed geometry. The functional is PBE-GGA.

Properties
- Raw total energy: -8.85 eV/atom
- Volume: 78.64 Å³/cell

The structure in POSCAR format:
```
Pa2SiIr
1.0
4.305 0.000 0.000
0.000 4.305 0.000
0.000 0.000 4.243
Pa Si Ir
2 1 1
Cartesian
0.000 2.153 0.000
2.153 0.000 0.000
0.000 0.000 2.121
2.153 2.153 2.121
```

No. 4
This record from Alexandria describes crystalline PmGeBiAu at its relaxed geometry. The functional is PBE-GGA.

Properties
- Formation enthalpy at 0 K: -0.38 eV/atom
- Volume: 99.16 Å³/cell

The structure in POSCAR format:
```
PmGeBiAu
1.0
0.000 3.674 3.674
3.674 0.000 3.674
3.674 3.674 0.000
Pm Ge Bi Au
1 1 1 1
Cartesian
0.000 0.000 0.000
5.510 5.510 5.510
3.674 3.674 3.674
1.837 1.837 1.837
```